The following is a DFT calculation (PBE-GGA) of GdLuCuAg after structural relaxation.

Output
Size of the total moment   1.790 μB/atom
Volume   89.33 Å³ per cell
N(E_F)   2.7 states/eV per cell
Crystal system   cubic
E_form   -260 meV per atom

Unit cell a=5.0177 b=5.0177 c=5.0177 alpha=60.00 beta=60.00 gamma=60.00
Fractional coordinates of all 4 atoms:
Gd: 0.0000 0.0000 0.0000
Lu: 0.5000 0.5000 0.5000
Cu: 0.2500 0.2500 0.2500
Ag: 0.7500 0.7500 0.7500



The following is a DFT calculation (PBE-GGA) of KSm2GeO5 after structural relaxation.

Output
Size of the total moment   0.087 μB/atom
Volume   268.45 Å³ per cell
N(E_F)   5.0 states/eV per cell
Formation energy without anion corrections   -2.39 eV per atom
Crystal system   tetragonal

Unit cell a=7.5545 b=7.5545 c=7.5545 alpha=126.66 beta=126.66 gamma=78.80
Fractional coordinates of all 18 atoms:
K: 0.2500 0.2500 0.0000
K: 0.7500 0.7500 0.0000
Sm: 0.1784 0.6784 0.8567
Sm: 0.3216 0.1784 0.5000
Sm: 0.6784 0.8216 0.5000
Sm: 0.8216 0.3216 0.1433
Ge: 0.2500 0.7500 0.5000
Ge: 0.7500 0.2500 0.5000
O: 0.0000 0.0000 0.0000
O: 0.0098 0.2360 0.5000
O: 0.2360 0.7360 0.2262
O: 0.2640 0.4902 0.5000
O: 0.4902 0.9902 0.2262
O: 0.5000 0.5000 0.0000
O: 0.5098 0.0098 0.7738
O: 0.7360 0.5098 0.5000
O: 0.7640 0.2640 0.7738
O: 0.9902 0.7640 0.5000



The following is a DFT calculation (PBE-GGA) of RbHgTe2 after structural relaxation.

Output
Size of the total moment   0.000 μB/atom
Volume   170.50 Å³ per cell
N(E_F)   4.1 states/eV per cell
Formation energy without anion corrections   -0.30 eV per atom
Crystal system   trigonal

Unit cell a=5.8262 b=5.8262 c=5.8262 alpha=70.64 beta=70.64 gamma=70.64
Fractional coordinates of all 4 atoms:
Rb: 0.0000 0.0000 0.0000
Hg: 0.5000 0.5000 0.5000
Te: 0.2966 0.2966 0.2966
Te: 0.7034 0.7034 0.7034



The following is a DFT calculation (PBE-GGA) of MoPtAu3 after structural relaxation.

Output
Size of the total moment   0.000 μB/atom
Volume   122.54 Å³ per cell
N(E_F)   4.5 states/eV per cell
ΔE to the lowest computed polymorph   312 meV per atom
Crystal system   cubic
E_form   1593 meV per atom

Unit cell a=4.9670 b=4.9670 c=4.9670 alpha=90.00 beta=90.00 gamma=90.00
Fractional coordinates of all 5 atoms:
Mo: 0.0000 0.0000 0.0000
Pt: 0.5000 0.5000 0.5000
Au: 0.0000 0.0000 0.5000
Au: 0.0000 0.5000 0.0000
Au: 0.5000 0.0000 0.0000